Entry from the Alexandria database: a relaxed structure of CsNa2CoO2 (PBE with a Hubbard U).

abc: 5.7507 9.7158 4.2819
angles: 90.00 90.00 90.00
Atoms (fractional coordinates):
Cs (0.0000, 0.0000, 0.0000)
Cs (0.5000, 0.5000, 0.5000)
Na (0.0008, 0.2850, 0.5000)
Na (0.4992, 0.7850, 0.0000)
Na (0.5008, 0.2150, 0.0000)
Na (0.9992, 0.7150, 0.5000)
Co (0.0000, 0.5000, 0.0000)
Co (0.5000, 0.0000, 0.5000)
O (0.1559, 0.3414, 0.0000)
O (0.3441, 0.8414, 0.5000)
O (0.6559, 0.1586, 0.5000)
O (0.8441, 0.6586, 0.0000)

Results
Raw total energy, eV/atom: -4.172